Entry 1:
This record from Alexandria describes a relaxed TmInPd3 crystal. The functional is PBE.

a = 7.9888 Å, b = 6.6372 Å, c = 7.3892 Å
α = 90.00°, β = 90.00°, γ = 90.00°
Positions (direct):
1 Pd 0.6754 0.6521 0.5575
2 Pd 0.8692 0.7824 0.2500
3 Pd 0.3246 0.3479 0.4425
4 Pd 0.1754 0.8479 0.5575
5 Pd 0.3246 0.3479 0.0575
6 Pd 0.3692 0.7176 0.2500
7 Pd 0.6754 0.6521 0.9425
8 Pd 0.1754 0.8479 0.9425
9 Pd 0.8246 0.1521 0.4425
10 Pd 0.1308 0.2176 0.7500
11 Pd 0.8246 0.1521 0.0575
12 Pd 0.6308 0.2824 0.7500
13 Tm 0.3680 0.5704 0.7500
14 Tm 0.8680 0.9296 0.7500
15 Tm 0.1320 0.0704 0.2500
16 Tm 0.6320 0.4296 0.2500
17 In 0.5000 0.0000 0.0000
18 In 0.0000 0.5000 0.0000
19 In 0.5000 0.0000 0.5000
20 In 0.0000 0.5000 0.5000

Values from the calculation:
- DFT total energy: -5.18 eV/atom
- Magnetic moment: 0.0 Bohr magnetons per cell
- Formation energy from the elements: -0.622 eV/atom

***

Entry 2:
This record from Alexandria describes a relaxed TmIn2Pd9 crystal. The functional is PBE.

a = 4.0543 Å, b = 4.0543 Å, c = 12.2015 Å
α = 90.00°, β = 90.00°, γ = 90.00°
Positions (direct):
1 Pd 0.0000 0.5000 0.5000
2 Pd 0.5000 0.5000 0.0000
3 Pd 0.5000 0.0000 0.5000
4 Pd 0.5000 0.5000 0.3335
5 Pd 0.5000 0.0000 0.1700
6 Pd 0.0000 0.5000 0.8300
7 Pd 0.5000 0.5000 0.6665
8 Pd 0.0000 0.5000 0.1700
9 Pd 0.5000 0.0000 0.8300
10 Tm 0.0000 0.0000 0.0000
11 In 0.0000 0.0000 0.6629
12 In 0.0000 0.0000 0.3371

Values from the calculation:
- DFT total energy: -5.32 eV/atom
- Magnetic moment: 0.0 Bohr magnetons per cell
- Formation energy from the elements: -0.593 eV/atom

***

Entry 3:
This record from Alexandria describes a relaxed TmIn5Pd6 crystal. The functional is PBE.

a = 4.6857 Å, b = 6.7622 Å, c = 7.3488 Å
α = 90.00°, β = 70.88°, γ = 90.00°
Positions (direct):
1 In 0.6649 0.5000 0.6729
2 In 0.6681 0.0000 0.6675
3 In 0.3351 0.5000 0.3271
4 In 0.3319 0.0000 0.3325
5 In 0.0000 0.5000 0.0000
6 Pd 0.8278 0.7450 0.3388
7 Pd 0.5000 0.2540 0.0000
8 Pd 0.1722 0.2550 0.6612
9 Pd 0.5000 0.7460 0.0000
10 Pd 0.1722 0.7450 0.6612
11 Pd 0.8278 0.2550 0.3388
12 Tm 0.0000 0.0000 0.0000

Values from the calculation:
- DFT total energy: -4.72 eV/atom
- Magnetic moment: 0.0 Bohr magnetons per cell
- Formation energy from the elements: -0.613 eV/atom